A relaxed structure of Tc5Hg3, computed with PBE.

Lattice parameters (Å, degrees): 5.8203 5.8203 3.9212 90.00 90.00 92.25
Last column: nearest neighbours and their distance in Å.
Positions (direct):
Tc  0.0000  0.0000  0.0000  8 Tc 2.77-2.91, 4 Hg 2.80
Tc  0.0000  0.5000  0.0000  6 Tc 2.82-2.91, 6 Hg 2.87-2.91
Tc  0.5000  0.0000  0.0000  6 Tc 2.82-2.91, 6 Hg 2.87-2.91
Tc  0.7664  0.2336  0.5000  6 Tc 2.77-2.82, 6 Hg 2.80-3.03
Tc  0.2336  0.7664  0.5000  6 Tc 2.77-2.82, 6 Hg 2.80-3.03
Hg  0.5000  0.5000  0.0000  4 Hg 2.83, 8 Tc 2.91-2.97
Hg  0.2473  0.2473  0.5000  10 Tc 2.80-3.03, 2 Hg 2.83
Hg  0.7527  0.7527  0.5000  10 Tc 2.80-3.03, 2 Hg 2.83

V: 133 Å³ per cell
Crystal system: orthorhombic
Fermi-level density of states: 12.18 states/eV per cell
Magnetization: 0.01 μB per cell
Polymorph energy (0 for the lowest one): 0.0 meV per atom
DFT formation energy: 5.54 eV per formula unit